Density functional theory data (PBE) for crystalline Zr2SiMo at its relaxed geometry.

abc: 2.8861 2.8861 8.8113
angles: 90.00 90.00 90.00
Fractional positions:
Zr (0.0000, 0.0000, 0.2276)
Zr (0.0000, 0.0000, 0.7724)
Si (0.5000, 0.5000, 0.0000)
Mo (0.5000, 0.5000, 0.5000)

- formation energy from raw total energies (eV/atom) = -0.071
- total magnetization (μB per formula unit) = 0.00